Below is SiS2BrN after structural relaxation, with properties calculated at the GGA-PBE level.

The structure in extended XYZ format:
```
5
Lattice="-0.468 3.656 -3.214 0.414 -3.188 -3.685 -3.331 -0.429 -0.003" Properties=species:S:1:pos:R:3 pbc="T T T"
S 0.207 -1.594 -1.843
S -0.234 1.828 -1.607
Si 0.000 0.000 0.000
Br -1.693 0.019 -3.451
N -1.665 -0.215 -0.001
```

The energy above the most stable polymorph in this dataset is 0.0000 eV per atom. The crystal system is tetragonal.



Below is SiS2BrN after structural relaxation, with properties calculated at the GGA-PBE level.

The structure in extended XYZ format:
```
5
Lattice="-0.002 -4.732 1.665 2.078 -1.516 -4.307 3.370 0.508 1.447" Properties=species:S:1:pos:R:3 pbc="T T T"
S 1.039 -0.758 -2.153
S -0.001 -2.366 0.832
Si 2.723 -2.870 -0.597
Br 0.000 0.000 0.000
N 1.685 0.254 0.724
```

The energy above the most stable polymorph in this dataset is 1.0453 eV per atom. The crystal system is tetragonal.



Below is SrSBrN2 after structural relaxation, with properties calculated at the GGA-PBE level.

The structure in extended XYZ format:
```
5
Lattice="4.939 0.000 0.000 0.000 4.939 0.000 0.000 0.000 5.993" Properties=species:S:1:pos:R:3 pbc="T T T"
Sr 0.000 0.000 0.000
S 0.000 0.000 2.997
Br 2.470 2.470 2.997
N 0.000 2.470 0.000
N 2.470 0.000 0.000
```

The crystal system is tetragonal.



Below is SrS2BrN after structural relaxation, with properties calculated at the GGA-PBE level.

The structure in extended XYZ format:
```
5
Lattice="-2.066 4.667 -0.662 -3.719 -2.058 -2.901 -2.237 -0.530 3.244" Properties=species:S:1:pos:R:3 pbc="T T T"
Sr -4.011 1.039 -0.159
S -1.860 -1.029 -1.451
S -1.033 2.333 -0.331
Br 0.000 0.000 0.000
N -1.119 -0.265 1.622
```

The energy above the most stable polymorph in this dataset is 0.0000 eV per atom. The crystal system is tetragonal.



Below is Sr4SBr2N after structural relaxation, with properties calculated at the GGA-PBE level.

The structure in extended XYZ format:
```
8
Lattice="-2.501 3.109 1.027 -5.758 -3.895 -2.227 1.127 -1.562 7.469" Properties=species:S:1:pos:R:3 pbc="T T T"
Sr -2.542 0.214 1.428
Sr -4.590 -2.562 4.842
Sr -0.774 -2.404 5.390
Sr -3.857 -3.053 -0.147
S 0.000 0.000 0.000
Br -0.687 0.773 4.248
Br -2.316 -2.729 2.621
N -4.129 -0.393 -0.600
```

The crystal system is monoclinic.



Below is Sr6SBr3N2 after structural relaxation, with properties calculated at the GGA-PBE level.

The structure in extended XYZ format:
```
12
Lattice="-1.527 3.999 -5.638 -4.576 -0.412 5.385 5.304 4.578 3.299" Properties=species:S:1:pos:R:3 pbc="T T T"
Sr 0.234 7.202 0.471
Sr -3.268 3.388 0.452
Sr -1.032 0.962 2.575
Sr -0.874 5.600 4.475
Sr 2.470 4.776 2.594
Sr 0.076 2.564 -1.428
S 0.000 0.000 0.000
Br -1.435 2.583 5.269
Br 0.637 5.581 -2.223
Br -0.399 4.082 1.523
N -3.561 1.056 1.716
N -2.542 2.530 -1.968
```

The crystal system is monoclinic.



Below is SrS2BrN after structural relaxation, with properties calculated at the GGA-PBE level.

The structure in extended XYZ format:
```
5
Lattice="-1.166 2.682 -5.116 -2.425 -4.965 -2.050 -4.475 1.451 1.780" Properties=species:S:1:pos:R:3 pbc="T T T"
Sr 0.000 0.000 0.000
S -1.212 -2.482 -1.025
S -0.583 1.341 -2.558
Br -4.033 -0.416 -2.693
N -2.237 0.725 0.890
```

The energy above the most stable polymorph in this dataset is 0.4778 eV per atom. The crystal system is tetragonal.



Below is TaSBrN2 after structural relaxation, with properties calculated at the GGA-PBE level.

The structure in extended XYZ format:
```
5
Lattice="3.984 0.000 0.000 0.000 3.984 0.000 0.000 0.000 5.453" Properties=species:S:1:pos:R:3 pbc="T T T"
S 0.000 0.000 2.727
N 0.000 1.992 0.000
N 1.992 0.000 0.000
Br 1.992 1.992 2.727
Ta 0.000 0.000 0.000
```

The energy above the most stable polymorph in this dataset is 0.0000 eV per atom. The crystal system is tetragonal.



Below is TaSBrN2 after structural relaxation, with properties calculated at the GGA-PBE level.

The structure in extended XYZ format:
```
5
Lattice="-0.529 -0.492 -3.832 -0.474 -3.831 0.557 -4.518 0.637 0.541" Properties=species:S:1:pos:R:3 pbc="T T T"
S -2.259 0.319 0.271
N -0.237 -1.915 0.279
N -0.264 -0.246 -1.916
Br 0.000 0.000 0.000
Ta -2.760 -1.843 -1.367
```

The energy above the most stable polymorph in this dataset is 1.7001 eV per atom. The crystal system is tetragonal.



Below is TcS2BrN after structural relaxation, with properties calculated at the GGA-PBE level.

The structure in extended XYZ format:
```
5
Lattice="4.809 0.000 0.000 0.000 4.809 0.000 0.000 0.000 3.761" Properties=species:S:1:pos:R:3 pbc="T T T"
S 0.000 2.405 0.000
S 2.405 0.000 0.000
Tc 0.000 0.000 0.000
Br 2.405 2.405 1.881
N 0.000 0.000 1.881
```

The energy above the most stable polymorph in this dataset is 0.0000 eV per atom. The crystal system is tetragonal.



Below is TcS2BrN after structural relaxation, with properties calculated at the GGA-PBE level.

The structure in extended XYZ format:
```
5
Lattice="-0.091 -0.007 4.993 -4.984 -0.306 -0.091 0.226 -3.684 -0.001" Properties=species:S:1:pos:R:3 pbc="T T T"
S -2.492 -0.153 -0.046
S -0.045 -0.003 2.497
Tc -2.424 -1.998 2.451
Br 0.000 0.000 0.000
N 0.113 -1.842 -0.001
```

The energy above the most stable polymorph in this dataset is 1.4433 eV per atom. The crystal system is tetragonal.



Below is TeSBrN2 after structural relaxation, with properties calculated at the GGA-PBE level.

The structure in extended XYZ format:
```
5
Lattice="3.921 0.000 0.000 0.000 3.921 0.000 0.000 0.000 6.066" Properties=species:S:1:pos:R:3 pbc="T T T"
S 0.000 0.000 3.033
Te 0.000 0.000 0.000
Br 1.960 1.960 3.033
N 0.000 1.960 0.000
N 1.960 0.000 0.000
```

The energy above the most stable polymorph in this dataset is 0.0000 eV per atom. The crystal system is tetragonal.



Below is TeS2BrN after structural relaxation, with properties calculated at the GGA-PBE level.

The structure in extended XYZ format:
```
5
Lattice="5.153 0.000 0.000 0.000 5.153 0.000 0.000 0.000 3.752" Properties=species:S:1:pos:R:3 pbc="T T T"
S 0.000 2.577 0.000
S 2.577 0.000 0.000
Te 2.577 2.577 1.876
Br 0.000 0.000 0.000
N 0.000 0.000 1.876
```

The energy above the most stable polymorph in this dataset is 0.3216 eV per atom. The crystal system is tetragonal.



Below is TeS2BrN after structural relaxation, with properties calculated at the GGA-PBE level.

The structure in extended XYZ format:
```
5
Lattice="-0.443 0.776 5.119 4.416 -2.626 0.780 2.066 3.376 -0.333" Properties=species:S:1:pos:R:3 pbc="T T T"
S 2.208 -1.313 0.390
S -0.221 0.388 2.559
Te 0.000 0.000 0.000
Br 3.019 0.763 2.783
N 1.033 1.688 -0.166
```

The energy above the most stable polymorph in this dataset is 0.0000 eV per atom. The crystal system is tetragonal.



E_form (uncorrected) across the listed records, respectively: 613, 1659, 1450, 421, -1507, -1437, 898, 431, 2131, 484, 1927, 1466, 1538, 1216 meV per atom.